First-principles (GGA-PBE) data for a relaxed ZrOsNF2 crystal, as listed in Alexandria.

Unit cell a=4.144 b=4.144 c=4.383 alpha=90.00 beta=90.00 gamma=90.00
Atoms (fractional coordinates):
N  0.000  0.000  0.500
Os  0.500  0.500  0.500
Zr  0.000  0.000  0.000
F  0.000  0.500  0.000
F  0.500  0.000  0.000

Computed properties:
E_form (uncorrected) ... -0.4165 eV/atom
E above lowest polymorph ... 0.000 eV/atom

---

First-principles (GGA-PBE) data for a relaxed LaMgAlRu2 crystal, as listed in Alexandria.

Unit cell a=4.743 b=4.612 c=4.743 alpha=90.00 beta=90.00 gamma=90.00
Atoms (fractional coordinates):
Ru  0.000  0.000  0.500
Ru  0.500  0.000  0.000
Mg  0.000  0.000  0.000
Al  0.000  0.500  0.000
La  0.500  0.500  0.500

Computed properties:
Raw total energy ... -5.1238 eV per atom

---

First-principles (GGA-PBE) data for a relaxed SrCdGeRh crystal, as listed in Alexandria.

Unit cell a=4.164 b=4.164 c=11.636 alpha=90.00 beta=90.00 gamma=90.00
Atoms (fractional coordinates):
Sr  0.750  0.750  0.234
Sr  0.250  0.250  0.766
Cd  0.250  0.750  0.500
Cd  0.750  0.250  0.500
Ge  0.750  0.750  0.885
Ge  0.250  0.250  0.115
Rh  0.750  0.250  0.000
Rh  0.250  0.750  0.000

Computed properties:
Raw total energy ... -4.1882 eV per atom

---

First-principles (GGA-PBE) data for a relaxed MoS crystal, as listed in Alexandria.

Unit cell a=3.160 b=12.149 c=5.287 alpha=90.00 beta=90.00 gamma=90.00
Atoms (fractional coordinates):
Mo  0.000  0.312  0.903
Mo  0.000  0.688  0.903
Mo  0.000  0.812  0.403
Mo  0.000  0.188  0.403
Mo  0.500  0.000  0.518
Mo  0.500  0.500  0.018
S  0.500  0.830  0.744
S  0.500  0.170  0.744
S  0.500  0.330  0.244
S  0.500  0.670  0.244
S  0.000  0.000  0.190
S  0.000  0.500  0.690

Computed properties:
E_form (uncorrected) ... -0.3793 eV/atom
E above lowest polymorph ... 0.078 eV/atom

---

First-principles (GGA-PBE) data for a relaxed Cs2ZnPI crystal, as listed in Alexandria.

Unit cell a=7.189 b=7.189 c=4.357 alpha=90.00 beta=90.00 gamma=90.00
Atoms (fractional coordinates):
Cs  0.000  0.500  0.000
Cs  0.500  0.000  0.000
I  0.500  0.500  0.500
Zn  0.000  0.000  0.500
P  0.000  0.000  0.000

Computed properties:
E_form (uncorrected) ... -0.6558 eV/atom